VASP calculation (PBE) on an optimized crystal structure of NaYEr.

abc: 3.4914 3.4914 8.4430
angles: 101.93 101.93 90.00
Fractional coordinates of all 3 atoms:
Er1 0.3241 0.3241 0.6483
Na1 0.9994 0.9994 0.9989
Y1 0.6764 0.6764 0.3528

**Formation enthalpy at 0 K**: 0.170 eV per atom
**Offset from the most stable computed form**: 65 meV per atom
**Space-group type**: I4mm (107)
**Density of states at the Fermi level**: 1.448 states/eV per atom
**Total magnetization**: 0.00 μB per formula unit
**Theoretical density**: 4.7 g/cm3